# 1
Computed, not measured: an optimized crystal structure of La3NdSm6Er2 at the GGA-PBE level of DFT.

The calculation puts the density at 7.27 g/cm3.

The space group is C2/m (No. 12) and the conventional cell measures 6.305, 10.927 and 12.099 Å, with angles of 90.00, 100.05 and 90.00 degrees. Symmetry generates all atoms from La at (0.000, 0.000, 0.000), La at (0.000, 0.333, 0.000), Nd at (0.000, 0.500, 0.500), Sm at (0.247, 0.000, 0.745), Sm at (0.249, 0.333, 0.745) and Er at (0.000, 0.167, 0.500).

***

# 2
Computed, not measured: an optimized crystal structure of La2Nd6SmEr at the GGA-PBE level of DFT.

The calculation puts the density at 6.88 g/cm3.

The space group is C2/c (No. 15) and the conventional cell measures 9.235, 15.325 and 10.116 Å, with angles of 90.00, 100.01 and 90.00 degrees. Symmetry generates all atoms from La at (0.243, 0.048, 0.041), Nd at (0.069, 0.190, 0.444), Nd at (0.100, 0.397, 0.620), Nd at (0.202, 0.219, 0.811), Sm at (0.000, 0.013, 0.750) and Er at (0.000, 0.406, 0.250).

***

# 3
Computed, not measured: an optimized crystal structure of LaNdSm4Er2 at the GGA-PBE level of DFT.

The calculation puts the density at 7.53 g/cm3.

The space group is Pm (No. 6) and the conventional cell measures 7.250, 7.242 and 10.236 Å, with angles of 90.00, 90.08 and 90.00 degrees. Symmetry generates all atoms from La at (0.000, 0.000, 0.000), La at (0.500, 0.000, 0.000), Nd at (0.000, 0.000, 0.500), Nd at (0.000, 0.500, 0.000), Sm at (0.252, 0.253, 0.254), Sm at (0.252, 0.253, 0.746), Sm at (0.748, 0.253, 0.254), Sm at (0.748, 0.253, 0.746), Er at (0.000, 0.500, 0.500), Er at (0.500, 0.000, 0.500), Er at (0.500, 0.500, 0.000) and Er at (0.500, 0.500, 0.500).

***

# 4
Computed, not measured: an optimized crystal structure of La6NdSmEr2 at the GGA-PBE level of DFT.

The calculation puts the density at 6.86 g/cm3.

The space group is C2/c (No. 15) and the conventional cell measures 9.374, 15.391 and 9.936 Å, with angles of 90.00, 98.90 and 90.00 degrees. Symmetry generates all atoms from La at (0.070, 0.174, 0.446), La at (0.097, 0.395, 0.622), La at (0.214, 0.223, 0.811), Nd at (0.000, 0.407, 0.250), Sm at (0.000, 0.027, 0.750) and Er at (0.241, 0.047, 0.047).

***

# 5
Computed, not measured: an optimized crystal structure of LaNd3SmEr at the GGA-PBE level of DFT.

The calculation puts the density at 7.13 g/cm3.

The space group is Cmcm (No. 63) and the conventional cell measures 5.950, 11.628 and 11.978 Å, with angles of 90.00, 90.00 and 90.00 degrees. Symmetry generates all atoms from La at (0.000, 0.033, 0.250), Nd at (0.000, 0.174, 0.530), Nd at (0.000, 0.361, 0.750), Sm at (0.000, 0.500, 0.000) and Er at (0.000, 0.334, 0.250).

***

# 6
Computed, not measured: an optimized crystal structure of LaNdSmEr2 at the GGA-PBE level of DFT.

The calculation puts the density at 7.13 g/cm3.

The space group is Cmcm (No. 63) and the conventional cell measures 8.497, 11.634 and 7.239 Å, with angles of 90.00, 90.00 and 90.00 degrees. Symmetry generates all atoms from La at (0.000, 0.234, 0.250), Nd at (0.000, 0.222, 0.750), Sm at (0.000, 0.499, 0.750) and Er at (0.188, 0.000, 0.000).

***

# 7
Computed, not measured: an optimized crystal structure of LaNdSmEr at the GGA-PBE level of DFT.

As for the relative energy among the computed polymorphs: 0.0 meV/atom. The calculation puts the density at 7.30 g/cm3.

The space group is P3m1 (No. 156) and the conventional cell measures 3.6536, 3.6536 and 11.8192 Å, with angles of 90.00, 90.00 and 120.00 degrees. Symmetry generates all atoms from La at (0.0000, 0.0000, 0.0000), Nd at (0.6667, 0.3333, 0.7405), Sm at (0.3333, 0.6667, 0.4908) and Er at (0.6667, 0.3333, 0.2502).

***

# 8
Computed, not measured: an optimized crystal structure of LaNd5SmEr2 at the GGA-PBE level of DFT.

The calculation puts the density at 7.12 g/cm3.

The space group is Cmc2_1 (No. 36) and the conventional cell measures 5.740, 20.453 and 10.689 Å, with angles of 90.00, 90.00 and 90.00 degrees. Symmetry generates all atoms from La at (0.000, 0.084, 0.000), Nd at (0.000, 0.023, 0.293), Nd at (0.000, 0.112, 0.579), Nd at (0.000, 0.204, 0.258), Nd at (0.000, 0.220, 0.866), Nd at (0.000, 0.484, 0.577), Sm at (0.000, 0.301, 0.564), Er at (0.000, 0.384, 0.875) and Er at (0.000, 0.387, 0.286).

***

# 9
Computed, not measured: an optimized crystal structure of La2Nd2Sm2Er at the GGA-PBE level of DFT.

The calculation puts the density at 7.05 g/cm3.

The space group is C2/m (No. 12) and the conventional cell measures 11.568, 5.188 and 8.200 Å, with angles of 90.00, 98.27 and 90.00 degrees. Symmetry generates all atoms from La at (0.142, 0.000, 0.425), Nd at (0.215, 0.500, 0.140), Sm at (0.070, 0.500, 0.717) and Er at (0.000, 0.000, 0.000).

***

# 10
Computed, not measured: an optimized crystal structure of La2NdSm6Er at the GGA-PBE level of DFT.

The calculation puts the density at 7.18 g/cm3.

The space group is C2/c (No. 15) and the conventional cell measures 9.173, 15.228 and 10.024 Å, with angles of 90.00, 99.76 and 90.00 degrees. Symmetry generates all atoms from La at (0.243, 0.049, 0.041), Nd at (0.000, 0.013, 0.750), Sm at (0.071, 0.191, 0.444), Sm at (0.098, 0.396, 0.620), Sm at (0.202, 0.220, 0.811) and Er at (0.000, 0.406, 0.250).

***

# 11
Computed, not measured: an optimized crystal structure of La5NdSmEr2 at the GGA-PBE level of DFT.

The calculation puts the density at 6.82 g/cm3.

The space group is Cmc2_1 (No. 36) and the conventional cell measures 5.774, 20.788 and 10.739 Å, with angles of 90.00, 90.00 and 90.00 degrees. Symmetry generates all atoms from La at (0.000, 0.016, 0.000), La at (0.000, 0.279, 0.700), La at (0.000, 0.295, 0.311), La at (0.000, 0.386, 0.994), La at (0.000, 0.481, 0.273), Nd at (0.000, 0.410, 0.562), Sm at (0.000, 0.197, 0.004), Er at (0.000, 0.114, 0.280) and Er at (0.000, 0.116, 0.703).

***

# 12
Computed, not measured: an optimized crystal structure of LaNd6Sm3Er2 at the GGA-PBE level of DFT.

The calculation puts the density at 7.22 g/cm3.

The space group is C2/m (No. 12) and the conventional cell measures 6.322, 10.949 and 12.074 Å, with angles of 90.00, 100.07 and 90.00 degrees. Symmetry generates all atoms from La at (0.000, 0.000, 0.000), Nd at (0.249, 0.333, 0.751), Nd at (0.249, 0.500, 0.249), Sm at (0.000, 0.167, 0.500), Sm at (0.000, 0.500, 0.500) and Er at (0.000, 0.333, 0.000).

***

# 13
Computed, not measured: an optimized crystal structure of LaNdErSn at the GGA-PBE level of DFT.

The calculation puts the density at 7.74 g/cm3.

The space group is F-43m (No. 216) and the conventional cell measures 7.874, 7.874 and 7.874 Å, with angles of 90.00, 90.00 and 90.00 degrees. Symmetry generates all atoms from La at (0.000, 0.000, 0.000), Nd at (0.000, 0.000, 0.500), Er at (0.250, 0.250, 0.250) and Sn at (0.250, 0.250, 0.750).

***

# 14
Computed, not measured: an optimized crystal structure of SrLaNdEr at the GGA-PBE level of DFT.

The calculation puts the density at 5.88 g/cm3.

The space group is F-43m (No. 216) and the conventional cell measures 8.469, 8.469 and 8.469 Å, with angles of 90.00, 90.00 and 90.00 degrees. Symmetry generates all atoms from Sr at (0.000, 0.000, 0.000), La at (0.250, 0.250, 0.750), Nd at (0.250, 0.250, 0.250) and Er at (0.000, 0.000, 0.500).

***

# 15
Computed, not measured: an optimized crystal structure of La2TbNd2Er at the GGA-PBE level of DFT.

The calculation puts the density at 7.20 g/cm3.

The space group is Pmma (No. 51) and the conventional cell measures 7.133, 5.764 and 10.010 Å, with angles of 90.00, 90.00 and 90.00 degrees. Symmetry generates all atoms from La at (0.000, 0.000, 0.000), La at (0.250, 0.500, 0.175), Tb at (0.000, 0.500, 0.500), Nd at (0.250, 0.000, 0.332), Nd at (0.250, 0.500, 0.835) and Er at (0.250, 0.000, 0.658).

***

# 16
Computed, not measured: an optimized crystal structure of LaTb2Nd2Er2 at the GGA-PBE level of DFT.

The calculation puts the density at 7.51 g/cm3.

The space group is C2/m (No. 12) and the conventional cell measures 11.711, 3.496 and 11.936 Å, with angles of 90.00, 102.19 and 90.00 degrees. Symmetry generates all atoms from La at (0.000, 0.000, 0.000), Tb at (0.091, 0.500, 0.281), Nd at (0.203, 0.500, 0.865) and Er at (0.158, 0.500, 0.572).

***

# 17
Computed, not measured: an optimized crystal structure of La2Tb6NdEr3 at the GGA-PBE level of DFT.

The calculation puts the density at 7.94 g/cm3.

The space group is C2/m (No. 12) and the conventional cell measures 6.221, 10.776 and 11.893 Å, with angles of 90.00, 100.04 and 90.00 degrees. Symmetry generates all atoms from La at (0.000, 0.166, 0.000), Tb at (0.247, 0.166, 0.744), Tb at (0.247, 0.500, 0.744), Nd at (0.000, 0.500, 0.000), Er at (0.000, 0.000, 0.500) and Er at (0.000, 0.333, 0.500).

***

# 18
Computed, not measured: an optimized crystal structure of LaTb2NdEr2 at the GGA-PBE level of DFT.

The calculation puts the density at 7.88 g/cm3.

The space group is Pnnm (No. 58) and the conventional cell measures 6.994, 9.892 and 5.700 Å, with angles of 90.00, 90.00 and 90.00 degrees. Symmetry generates all atoms from La at (0.000, 0.000, 0.000), Tb at (0.249, 0.334, 0.000), Nd at (0.000, 0.500, 0.500) and Er at (0.250, 0.167, 0.500).

***

# 19
Computed, not measured: an optimized crystal structure of La2Tb3Nd6Er at the GGA-PBE level of DFT.

The calculation puts the density at 7.20 g/cm3.

The space group is C2/m (No. 12) and the conventional cell measures 6.328, 10.962 and 12.080 Å, with angles of 90.00, 100.11 and 90.00 degrees. Symmetry generates all atoms from La at (0.000, 0.167, 0.000), Tb at (0.000, 0.000, 0.500), Tb at (0.000, 0.334, 0.500), Nd at (0.247, 0.500, 0.746), Nd at (0.250, 0.166, 0.746) and Er at (0.000, 0.500, 0.000).

***

# 20
Computed, not measured: an optimized crystal structure of La4TbNdEr2 at the GGA-PBE level of DFT.

The calculation puts the density at 7.19 g/cm3.

The space group is Pmmm (No. 47) and the conventional cell measures 5.213, 5.245 and 10.079 Å, with angles of 90.00, 90.00 and 90.00 degrees. Symmetry generates all atoms from La at (0.000, 0.000, 0.247), La at (0.500, 0.500, 0.248), Tb at (0.000, 0.500, 0.000), Nd at (0.500, 0.000, 0.500), Er at (0.000, 0.500, 0.500) and Er at (0.500, 0.000, 0.000).

***

| no. | calculated formation energy (kJ/mol of atoms) |
| --- | --- |
| 1 | 2.0 |
| 2 | 10.6 |
| 3 | 1.7 |
| 4 | 9.7 |
| 5 | 10.9 |
| 6 | 32.5 |
| 7 | 2.0 |
| 8 | 14.3 |
| 9 | 2.1 |
| 10 | 10.9 |
| 11 | 13.3 |
| 12 | 1.7 |
| 13 | -26.0 |
| 14 | 19.3 |
| 15 | 5.3 |
| 16 | 16.5 |
| 17 | 2.2 |
| 18 | 6.7 |
| 19 | 1.7 |
| 20 | 1.7 |